No. 1
Pm4Cu3Pt | PBE | relaxed

Cell: 3.924 4.510 10.660 Å, 90.00 90.00 90.00°
Element x y z (fractional)
Pm (0.000, 0.000, 0.000)
Pm (0.000, 0.500, 0.277)
Pm (0.500, 0.000, 0.497)
Pm (0.500, 0.500, 0.777)
Cu (0.000, 0.000, 0.704)
Cu (0.000, 0.500, 0.569)
Cu (0.500, 0.500, 0.063)
Pt (0.500, 0.000, 0.214)

Calculated values
Space group   No. 25
Density of states at the Fermi level   5.94 states/eV/f.u.
Mass density   8499 kg/m3
DFT formation energy   -453 meV/atom

No. 2
Pm4CuPt | PBE | relaxed

Cell: 4.971 4.971 7.055 Å, 90.00 90.00 90.00°
Element x y z (fractional)
Pm (0.000, 0.500, 0.249)
Pm (0.000, 0.500, 0.751)
Pm (0.500, 0.000, 0.249)
Pm (0.500, 0.000, 0.751)
Cu (0.000, 0.000, 0.500)
Pt (0.500, 0.500, 0.000)

Calculated values
Space group   No. 123
Density of states at the Fermi level   11.47 states/eV/f.u.
Mass density   7986 kg/m3
DFT formation energy   -309 meV/atom

No. 3
Pm6Cu2Pt | PBE | relaxed

Cell: 8.555 8.555 8.555 Å, 110.05 109.29 109.07°
Element x y z (fractional)
Pm (0.061, 0.243, 0.818)
Pm (0.172, 0.474, 0.302)
Pm (0.172, 0.871, 0.698)
Pm (0.327, 0.237, 0.564)
Pm (0.327, 0.763, 0.090)
Pm (0.426, 0.243, 0.182)
Pm (0.574, 0.757, 0.818)
Pm (0.673, 0.237, 0.910)
Pm (0.673, 0.763, 0.436)
Pm (0.828, 0.129, 0.302)
Pm (0.828, 0.526, 0.698)
Pm (0.939, 0.757, 0.182)
Cu (0.145, 0.500, 0.645)
Cu (0.380, 0.880, 0.500)
Cu (0.620, 0.120, 0.500)
Cu (0.855, 0.500, 0.355)
Pt (0.000, 0.000, 0.000)
Pt (0.500, 0.500, 0.000)

Calculated values
Space group   No. 71
Density of states at the Fermi level   8.77 states/eV/f.u.
Mass density   8215 kg/m3
DFT formation energy   -315 meV/atom

No. 4
PmCuPt | PBE | relaxed

Cell: 6.540 6.540 6.540 Å, 90.00 90.00 90.00°
Element x y z (fractional)
Pm (0.000, 0.000, 0.000)
Pm (0.000, 0.500, 0.500)
Pm (0.500, 0.000, 0.500)
Pm (0.500, 0.500, 0.000)
Cu (0.000, 0.000, 0.500)
Cu (0.000, 0.500, 0.000)
Cu (0.500, 0.000, 0.000)
Cu (0.500, 0.500, 0.500)
Pt (0.250, 0.250, 0.250)
Pt (0.250, 0.750, 0.750)
Pt (0.750, 0.250, 0.750)
Pt (0.750, 0.750, 0.250)

Calculated values
Space group   No. 216
Density of states at the Fermi level   1.22 states/eV/f.u.
Mass density   9584 kg/m3
DFT formation energy   -541 meV/atom

No. 5
Pm8CuPt2 | PBE | relaxed

Cell: 7.714 7.714 6.253 Å, 99.91 99.91 112.00°
Element x y z (fractional)
Pm (0.000, 0.000, 0.000)
Pm (0.022, 0.285, 0.581)
Pm (0.150, 0.584, 0.191)
Pm (0.285, 0.022, 0.581)
Pm (0.441, 0.705, 0.816)
Pm (0.584, 0.150, 0.191)
Pm (0.705, 0.441, 0.816)
Pm (0.718, 0.718, 0.376)
Cu (0.354, 0.354, 0.994)
Pt (0.046, 0.677, 0.688)
Pt (0.677, 0.046, 0.688)

Calculated values
Space group   No. 8
Density of states at the Fermi level   14.24 states/eV/f.u.
Mass density   8164 kg/m3
DFT formation energy   -341 meV/atom

No. 6
PmCuPt2 | PBE | relaxed

Cell: 3.540 3.540 5.906 Å, 90.00 90.00 90.00°
Element x y z (fractional)
Pm (0.000, 0.000, 0.000)
Cu (0.000, 0.000, 0.500)
Pt (0.500, 0.500, 0.274)
Pt (0.500, 0.500, 0.726)

Calculated values
Space group   No. 123
Density of states at the Fermi level   1.51 states/eV/f.u.
Mass density   13432 kg/m3
DFT formation energy   -605 meV/atom

No. 7
PmCu2Pt | PBE | relaxed

Cell: 4.059 4.059 4.388 Å, 90.00 90.00 90.00°
Element x y z (fractional)
Pm (0.000, 0.000, 0.000)
Cu (0.000, 0.500, 0.500)
Cu (0.500, 0.000, 0.500)
Pt (0.500, 0.500, 0.000)

Calculated values
Space group   No. 123
Density of states at the Fermi level   2.14 states/eV/f.u.
Mass density   10733 kg/m3
DFT formation energy   -274 meV/atom

No. 8
PmCuPt | PBE | relaxed

Cell: 11.602 11.602 11.602 Å, 158.53 45.20 140.71°
Element x y z (fractional)
Pm (0.000, 0.000, 0.000)
Pm (0.075, 0.910, 0.165)
Pm (0.332, 0.001, 0.331)
Pm (0.417, 0.917, 0.500)
Pm (0.670, 0.001, 0.669)
Pm (0.745, 0.910, 0.835)
Cu (0.183, 0.290, 0.894)
Cu (0.350, 0.625, 0.725)
Cu (0.396, 0.290, 0.106)
Cu (0.727, 0.289, 0.438)
Cu (0.851, 0.289, 0.562)
Cu (0.901, 0.625, 0.275)
Pt (0.017, 0.612, 0.406)
Pt (0.062, 0.303, 0.759)
Pt (0.206, 0.612, 0.594)
Pt (0.536, 0.610, 0.926)
Pt (0.544, 0.303, 0.241)
Pt (0.685, 0.610, 0.074)

Calculated values
Space group   No. 44
Density of states at the Fermi level   1.76 states/eV/f.u.
Mass density   11137 kg/m3
DFT formation energy   -754 meV/atom

No. 9
PmCuPt2 | PBE | relaxed

Cell: 4.212 4.212 4.053 Å, 90.00 90.00 90.00°
Element x y z (fractional)
Pm (0.000, 0.000, 0.000)
Cu (0.500, 0.500, 0.000)
Pt (0.000, 0.500, 0.500)
Pt (0.500, 0.000, 0.500)

Calculated values
Space group   No. 123
Density of states at the Fermi level   1.60 states/eV/f.u.
Mass density   13823 kg/m3
DFT formation energy   -686 meV/atom

No. 10
Pm2Cu3Pt | PBE | relaxed

Cell: 8.642 8.369 5.710 Å, 72.99 67.83 39.19°
Element x y z (fractional)
Pm (0.247, 0.753, 0.753)
Pm (0.250, 0.250, 0.250)
Pm (0.750, 0.750, 0.750)
Pm (0.753, 0.247, 0.247)
Cu (0.176, 0.662, 0.338)
Cu (0.337, 0.337, 0.663)
Cu (0.338, 0.824, 0.176)
Cu (0.662, 0.176, 0.824)
Cu (0.663, 0.663, 0.337)
Cu (0.824, 0.338, 0.662)
Pt (0.166, 0.166, 0.834)
Pt (0.834, 0.834, 0.166)

Calculated values
Space group   No. 69
Density of states at the Fermi level   5.06 states/eV/f.u.
Mass density   9286 kg/m3
DFT formation energy   -489 meV/atom

No. 11
Pm2Cu5Pt | PBE | relaxed

Cell: 8.091 8.091 8.974 Å, 90.00 90.00 150.67°
Element x y z (fractional)
Pm (0.000, 0.000, 0.000)
Pm (0.000, 0.000, 0.500)
Pm (0.198, 0.802, 0.750)
Pm (0.802, 0.198, 0.250)
Cu (0.182, 0.818, 0.115)
Cu (0.182, 0.818, 0.385)
Cu (0.342, 0.658, 0.017)
Cu (0.342, 0.658, 0.483)
Cu (0.394, 0.606, 0.750)
Cu (0.606, 0.394, 0.250)
Cu (0.658, 0.342, 0.517)
Cu (0.658, 0.342, 0.983)
Cu (0.818, 0.182, 0.615)
Cu (0.818, 0.182, 0.885)
Pt (0.442, 0.558, 0.250)
Pt (0.558, 0.442, 0.750)

Calculated values
Space group   No. 63
Density of states at the Fermi level   4.38 states/eV/f.u.
Mass density   9263 kg/m3
DFT formation energy   -356 meV/atom

No. 12
Pm6Cu2Pt | PBE | relaxed

Cell: 6.677 7.439 12.298 Å, 90.00 121.69 90.00°
Element x y z (fractional)
Pm (0.077, 0.188, 0.425)
Pm (0.077, 0.312, 0.925)
Pm (0.250, 0.670, 0.429)
Pm (0.250, 0.830, 0.929)
Pm (0.399, 0.042, 0.242)
Pm (0.399, 0.458, 0.742)
Pm (0.601, 0.542, 0.258)
Pm (0.601, 0.958, 0.758)
Pm (0.750, 0.170, 0.071)
Pm (0.750, 0.330, 0.571)
Pm (0.923, 0.688, 0.075)
Pm (0.923, 0.812, 0.575)
Cu (0.175, 0.114, 0.741)
Cu (0.175, 0.386, 0.241)
Cu (0.825, 0.614, 0.759)
Cu (0.825, 0.886, 0.259)
Pt (0.500, 0.000, 0.500)
Pt (0.500, 0.500, 0.000)

Calculated values
Space group   No. 14
Density of states at the Fermi level   10.15 states/eV/f.u.
Mass density   7616 kg/m3
DFT formation energy   -253 meV/atom

No. 13
Pm3CuPt3 | PBE | relaxed

Cell: 8.648 8.648 5.780 Å, 90.00 90.00 120.00°
Element x y z (fractional)
Pm (0.048, 0.689, 0.250)
Pm (0.311, 0.359, 0.250)
Pm (0.359, 0.048, 0.750)
Pm (0.641, 0.952, 0.250)
Pm (0.689, 0.641, 0.750)
Pm (0.952, 0.311, 0.750)
Cu (0.333, 0.667, 0.750)
Cu (0.667, 0.333, 0.250)
Pt (0.047, 0.687, 0.750)
Pt (0.313, 0.361, 0.750)
Pt (0.361, 0.047, 0.250)
Pt (0.639, 0.953, 0.750)
Pt (0.687, 0.639, 0.250)
Pt (0.953, 0.313, 0.250)

Calculated values
Space group   No. 176
Density of states at the Fermi level   3.84 states/eV/f.u.
Mass density   9613 kg/m3
DFT formation energy   -733 meV/atom

No. 14
PmCu12Pt6 | PBE | relaxed

Cell: 6.917 6.917 6.917 Å, 103.90 103.90 103.90°
Element x y z (fractional)
Pm (0.000, 0.000, 0.000)
Cu (0.107, 0.500, 0.893)
Cu (0.107, 0.893, 0.500)
Cu (0.112, 0.369, 0.369)
Cu (0.369, 0.112, 0.369)
Cu (0.369, 0.369, 0.112)
Cu (0.500, 0.107, 0.893)
Cu (0.500, 0.893, 0.107)
Cu (0.631, 0.631, 0.888)
Cu (0.631, 0.888, 0.631)
Cu (0.888, 0.631, 0.631)
Cu (0.893, 0.107, 0.500)
Cu (0.893, 0.500, 0.107)
Pt (0.291, 0.291, 0.696)
Pt (0.291, 0.696, 0.291)
Pt (0.304, 0.709, 0.709)
Pt (0.696, 0.291, 0.291)
Pt (0.709, 0.304, 0.709)
Pt (0.709, 0.709, 0.304)

Calculated values
Space group   No. 166
Density of states at the Fermi level   11.01 states/eV/f.u.
Mass density   11663 kg/m3
DFT formation energy   14 meV/atom

No. 15
PmCu2Pt3 | PBE | relaxed

Cell: 5.432 5.432 4.101 Å, 90.00 90.00 120.00°
Element x y z (fractional)
Pm (0.000, 0.000, 0.000)
Cu (0.333, 0.667, 0.000)
Cu (0.667, 0.333, 0.000)
Pt (0.000, 0.500, 0.500)
Pt (0.500, 0.000, 0.500)
Pt (0.500, 0.500, 0.500)

Calculated values
Space group   No. 191
Density of states at the Fermi level   4.39 states/eV/f.u.
Mass density   13585 kg/m3
DFT formation energy   -642 meV/atom

No. 16
PmCu8Pt2 | PBE | relaxed

Cell: 6.213 6.213 4.862 Å, 90.00 90.00 90.00°
Element x y z (fractional)
Pm (0.000, 0.000, 0.000)
Cu (0.303, 0.303, 0.247)
Cu (0.303, 0.303, 0.753)
Cu (0.303, 0.697, 0.247)
Cu (0.303, 0.697, 0.753)
Cu (0.697, 0.303, 0.247)
Cu (0.697, 0.303, 0.753)
Cu (0.697, 0.697, 0.247)
Cu (0.697, 0.697, 0.753)
Pt (0.000, 0.500, 0.500)
Pt (0.500, 0.000, 0.500)

Calculated values
Space group   No. 123
Density of states at the Fermi level   6.45 states/eV/f.u.
Mass density   9232 kg/m3
DFT formation energy   182 meV/atom

No. 17
Pm3Cu2Pt6 | PBE | relaxed

Cell: 8.289 8.289 8.289 Å, 109.47 109.47 109.47°
Element x y z (fractional)
Pm (0.000, 0.299, 0.299)
Pm (0.000, 0.701, 0.701)
Pm (0.299, 0.000, 0.299)
Pm (0.299, 0.299, 0.000)
Pm (0.701, 0.000, 0.701)
Pm (0.701, 0.701, 0.000)
Cu (0.000, 0.000, 0.500)
Cu (0.000, 0.500, 0.000)
Cu (0.500, 0.000, 0.000)
Cu (0.500, 0.500, 0.500)
Pt (0.000, 0.330, 0.670)
Pt (0.000, 0.670, 0.330)
Pt (0.330, 0.000, 0.670)
Pt (0.330, 0.330, 0.660)
Pt (0.330, 0.660, 0.330)
Pt (0.330, 0.670, 0.000)
Pt (0.340, 0.670, 0.670)
Pt (0.660, 0.330, 0.330)
Pt (0.670, 0.000, 0.330)
Pt (0.670, 0.330, 0.000)
Pt (0.670, 0.340, 0.670)
Pt (0.670, 0.670, 0.340)

Calculated values
Space group   No. 229
Density of states at the Fermi level   5.96 states/eV/f.u.
Mass density   13127 kg/m3
DFT formation energy   -818 meV/atom

No. 18
PmCuPt | PBE | relaxed

Cell: 3.667 3.667 8.915 Å, 90.00 90.00 90.00°
Element x y z (fractional)
Pm (0.000, 0.000, 0.000)
Pm (0.500, 0.500, 0.500)
Cu (0.000, 0.000, 0.319)
Cu (0.500, 0.500, 0.819)
Pt (0.000, 0.000, 0.665)
Pt (0.500, 0.500, 0.165)

Calculated values
Space group   No. 107
Density of states at the Fermi level   1.10 states/eV/f.u.
Mass density   11183 kg/m3
DFT formation energy   -574 meV/atom

No. 19
PmCu2Pt4 | PBE | relaxed

Cell: 8.523 6.766 5.157 Å, 90.00 127.08 90.00°
Element x y z (fractional)
Pm (0.000, 0.000, 0.000)
Pm (0.500, 0.500, 0.000)
Cu (0.000, 0.500, 0.249)
Cu (0.000, 0.500, 0.751)
Cu (0.500, 0.000, 0.249)
Cu (0.500, 0.000, 0.751)
Pt (0.199, 0.199, 0.699)
Pt (0.199, 0.801, 0.699)
Pt (0.301, 0.301, 0.301)
Pt (0.301, 0.699, 0.301)
Pt (0.699, 0.301, 0.699)
Pt (0.699, 0.699, 0.699)
Pt (0.801, 0.199, 0.301)
Pt (0.801, 0.801, 0.301)

Calculated values
Space group   No. 12
Density of states at the Fermi level   5.65 states/eV/f.u.
Mass density   14733 kg/m3
DFT formation energy   -473 meV/atom

No. 20
PmCuPt | PBE | relaxed

Cell: 10.306 4.405 7.048 Å, 90.00 131.34 90.00°
Element x y z (fractional)
Pm (0.043, 0.000, 0.296)
Pm (0.457, 0.500, 0.704)
Pm (0.543, 0.500, 0.296)
Pm (0.957, 0.000, 0.704)
Cu (0.154, 0.500, 0.094)
Cu (0.346, 0.000, 0.906)
Cu (0.654, 0.000, 0.094)
Cu (0.846, 0.500, 0.906)
Pt (0.175, 0.500, 0.715)
Pt (0.325, 0.000, 0.285)
Pt (0.675, 0.000, 0.715)
Pt (0.825, 0.500, 0.285)

Calculated values
Space group   No. 12
Density of states at the Fermi level   1.39 states/eV/f.u.
Mass density   11159 kg/m3
DFT formation energy   -731 meV/atom